A plane-wave DFT calculation with PBE was carried out for Ac5Pd6 after structural relaxation.

a b c (Å): 4.178 4.557 16.055
angles (deg): 98.16 90.00 90.00
Atoms (fractional coordinates):
Ac 0.500 0.801 0.602
Ac 0.500 0.199 0.398
Ac 0.000 0.613 0.226
Ac 0.000 0.387 0.774
Ac 0.000 0.000 0.000
Pd 0.500 0.542 0.085
Pd 0.500 0.458 0.915
Pd 0.000 0.718 0.436
Pd 0.000 0.282 0.564
Pd 0.500 0.903 0.805
Pd 0.500 0.097 0.195

Computed properties:
ρ = 9.73 g/cm³
N(E_F) = 0.6406 states/eV/atom
Electronic total energy = -0.4053 Ry/atom

A plane-wave DFT calculation with PBE was carried out for Ac2Pd17 after structural relaxation.

a b c (Å): 7.034 7.034 7.034
angles (deg): 82.72 82.72 82.72
Atoms (fractional coordinates):
Ac 0.335 0.335 0.335
Ac 0.665 0.665 0.665
Pd 0.652 0.652 0.157
Pd 0.157 0.652 0.652
Pd 0.900 0.900 0.900
Pd 0.100 0.100 0.100
Pd 0.000 0.000 0.500
Pd 0.000 0.500 0.000
Pd 0.500 0.000 0.000
Pd 0.298 0.702 0.000
Pd 0.702 0.000 0.298
Pd 0.000 0.298 0.702
Pd 0.702 0.298 0.000
Pd 0.298 0.000 0.702
Pd 0.000 0.702 0.298
Pd 0.843 0.348 0.348
Pd 0.348 0.348 0.843
Pd 0.348 0.843 0.348
Pd 0.652 0.157 0.652

Computed properties:
ρ = 11.05 g/cm³
N(E_F) = 1.2599 states/eV/atom
Electronic total energy = -0.3997 Ry/atom

A plane-wave DFT calculation with PBE was carried out for Ac3Pd after structural relaxation.

a b c (Å): 4.005 3.991 9.978
angles (deg): 90.00 90.00 90.00
Atoms (fractional coordinates):
Ac 0.000 0.500 0.469
Ac 0.500 0.500 0.120
Ac 0.500 0.000 0.754
Pd 0.000 0.000 0.991

Computed properties:
ρ = 8.20 g/cm³
N(E_F) = 1.0247 states/eV/atom
Electronic total energy = -0.3380 Ry/atom
Offset from the most stable computed form = 131.8 meV/atom

A plane-wave DFT calculation with PBE was carried out for Ac3Pd after structural relaxation.

a b c (Å): 4.952 4.952 6.709
angles (deg): 111.66 111.66 90.00
Atoms (fractional coordinates):
Ac 0.750 0.250 0.500
Ac 0.250 0.750 0.500
Ac 0.500 0.500 0.000
Pd 0.000 0.000 0.000

Computed properties:
ρ = 9.32 g/cm³
N(E_F) = 1.5075 states/eV/atom
Electronic total energy = -0.3221 Ry/atom
Offset from the most stable computed form = 347.4 meV/atom

A plane-wave DFT calculation with PBE was carried out for Ac3Pd2 after structural relaxation.

a b c (Å): 7.587 7.585 8.200
angles (deg): 62.46 62.47 60.06
Atoms (fractional coordinates):
Ac 0.250 0.608 0.750
Ac 0.608 0.892 0.750
Ac 0.892 0.250 0.749
Ac 0.108 0.750 0.251
Ac 0.392 0.108 0.250
Ac 0.750 0.392 0.250
Pd 0.822 0.822 0.035
Pd 0.678 0.678 0.465
Pd 0.322 0.322 0.535
Pd 0.178 0.178 0.965

Computed properties:
ρ = 8.59 g/cm³
N(E_F) = 0.8479 states/eV/atom
Electronic total energy = -0.3776 Ry/atom
Offset from the most stable computed form = 28.6 meV/atom

A plane-wave DFT calculation with PBE was carried out for Ac3Pd after structural relaxation.

a b c (Å): 6.642 9.855 9.855
angles (deg): 83.48 70.31 70.31
Atoms (fractional coordinates):
Ac 0.349 0.998 0.804
Ac 0.152 0.002 0.196
Ac 0.846 0.804 0.002
Ac 0.653 0.196 0.998
Ac 0.503 0.359 0.637
Ac 0.499 0.641 0.363
Ac 0.860 0.637 0.641
Ac 0.138 0.363 0.359
Ac 0.984 0.997 0.601
Ac 0.582 0.003 0.399
Ac 0.415 0.601 0.003
Ac 0.019 0.399 0.997
Pd 0.006 0.293 0.701
Pd 0.000 0.707 0.299
Pd 0.293 0.701 0.707
Pd 0.701 0.299 0.293

Computed properties:
ρ = 9.15 g/cm³
N(E_F) = 1.5591 states/eV/atom
Electronic total energy = -0.3457 Ry/atom
Offset from the most stable computed form = 27.1 meV/atom

A plane-wave DFT calculation with PBE was carried out for AcPd6 after structural relaxation.

a b c (Å): 6.016 6.016 6.016
angles (deg): 90.00 90.00 90.00
Atoms (fractional coordinates):
Ac 0.000 0.000 0.000
Pd 0.196 0.500 0.500
Pd 0.500 0.500 0.804
Pd 0.500 0.500 0.196
Pd 0.500 0.196 0.500
Pd 0.500 0.804 0.500
Pd 0.804 0.500 0.500

Computed properties:
ρ = 6.60 g/cm³
N(E_F) = 1.0494 states/eV/atom
Electronic total energy = -0.3148 Ry/atom

A plane-wave DFT calculation with PBE was carried out for Ac7Pd3 after structural relaxation.

a b c (Å): 6.932 10.825 10.825
angles (deg): 120.00 90.00 90.00
Atoms (fractional coordinates):
Ac 0.135 0.667 0.333
Ac 0.635 0.333 0.667
Ac 0.935 0.875 0.749
Ac 0.935 0.875 0.125
Ac 0.935 0.251 0.125
Ac 0.435 0.125 0.251
Ac 0.435 0.125 0.875
Ac 0.435 0.749 0.875
Ac 0.120 0.460 0.919
Ac 0.120 0.460 0.540
Ac 0.120 0.081 0.540
Ac 0.620 0.540 0.081
Ac 0.620 0.540 0.460
Ac 0.620 0.919 0.460
Pd 0.870 0.188 0.377
Pd 0.870 0.188 0.812
Pd 0.870 0.623 0.812
Pd 0.370 0.812 0.623
Pd 0.370 0.812 0.188
Pd 0.370 0.377 0.188

Computed properties:
ρ = 9.01 g/cm³
N(E_F) = 1.2066 states/eV/atom
Electronic total energy = -0.3632 Ry/atom

A plane-wave DFT calculation with PBE was carried out for AcPd5 after structural relaxation.

a b c (Å): 4.259 4.297 6.433
angles (deg): 109.51 90.00 90.00
Atoms (fractional coordinates):
Ac 0.000 0.000 0.000
Pd 0.000 0.675 0.350
Pd 0.000 0.325 0.650
Pd 0.500 0.500 0.000
Pd 0.500 0.175 0.351
Pd 0.500 0.825 0.649

Computed properties:
ρ = 11.36 g/cm³
N(E_F) = 0.6014 states/eV/atom
Electronic total energy = -0.4024 Ry/atom

A plane-wave DFT calculation with PBE was carried out for Ac3PmPd3 after structural relaxation.

a b c (Å): 7.466 7.466 7.733
angles (deg): 90.94 90.94 99.00
Atoms (fractional coordinates):
Ac 0.660 0.660 0.359
Ac 0.178 0.822 0.500
Ac 0.822 0.178 0.500
Ac 0.249 0.751 0.000
Ac 0.751 0.249 0.000
Ac 0.340 0.340 0.641
Pm 0.749 0.749 0.866
Pm 0.251 0.251 0.134
Pd 0.941 0.941 0.183
Pd 0.976 0.504 0.723
Pd 0.504 0.976 0.723
Pd 0.024 0.496 0.277
Pd 0.496 0.024 0.277
Pd 0.059 0.059 0.817

Computed properties:
ρ = 8.94 g/cm³
N(E_F) = 0.8176 states/eV/atom
Electronic total energy = -0.3879 Ry/atom

A plane-wave DFT calculation with PBE was carried out for Ac12PmPd7 after structural relaxation.

a b c (Å): 9.684 9.684 9.684
angles (deg): 107.32 107.32 107.32
Atoms (fractional coordinates):
Ac 0.926 0.310 0.774
Ac 0.690 0.226 0.074
Ac 0.457 0.154 0.381
Ac 0.846 0.619 0.543
Ac 0.226 0.074 0.690
Ac 0.619 0.543 0.846
Ac 0.381 0.457 0.154
Ac 0.774 0.926 0.310
Ac 0.154 0.381 0.457
Ac 0.543 0.846 0.619
Ac 0.310 0.774 0.926
Ac 0.074 0.690 0.226
Pm 0.000 0.000 0.000
Pd 0.964 0.656 0.885
Pd 0.344 0.115 0.036
Pd 0.115 0.036 0.344
Pd 0.500 0.500 0.500
Pd 0.885 0.964 0.656
Pd 0.656 0.885 0.964
Pd 0.036 0.344 0.115

Computed properties:
ρ = 8.00 g/cm³
N(E_F) = 1.0444 states/eV/atom
Electronic total energy = -0.3682 Ry/atom

A plane-wave DFT calculation with PBE was carried out for Ac3Pm2Pd2 after structural relaxation.

a b c (Å): 6.862 6.862 9.547
angles (deg): 67.26 67.26 34.13
Atoms (fractional coordinates):
Ac 0.500 0.500 0.000
Ac 0.384 0.384 0.437
Ac 0.616 0.616 0.563
Pm 0.169 0.169 0.185
Pm 0.831 0.831 0.815
Pd 0.170 0.170 0.785
Pd 0.830 0.830 0.215

Computed properties:
ρ = 8.52 g/cm³
N(E_F) = 1.2480 states/eV/atom
Electronic total energy = -0.3693 Ry/atom

A plane-wave DFT calculation with PBE was carried out for AcPmPd after structural relaxation.

a b c (Å): 4.483 4.894 4.894
angles (deg): 120.00 90.00 90.00
Atoms (fractional coordinates):
Ac 0.294 0.333 0.667
Pd 0.933 0.000 0.000
Pm 0.773 0.667 0.333

Computed properties:
ρ = 8.55 g/cm³
N(E_F) = 0.7290 states/eV/atom
Electronic total energy = -0.3702 Ry/atom
Offset from the most stable computed form = 90.9 meV/atom

A plane-wave DFT calculation with PBE was carried out for AcPmPd after structural relaxation.

a b c (Å): 3.758 3.758 7.054
angles (deg): 105.45 105.45 90.00
Atoms (fractional coordinates):
Ac 0.026 0.026 0.052
Pd 0.678 0.678 0.356
Pm 0.296 0.296 0.592

Computed properties:
ρ = 8.61 g/cm³
N(E_F) = 1.2450 states/eV/atom
Electronic total energy = -0.3766 Ry/atom
Offset from the most stable computed form = 3.8 meV/atom

A plane-wave DFT calculation with PBE was carried out for AcPmPd after structural relaxation.

a b c (Å): 3.773 7.455 7.116
angles (deg): 106.53 105.48 89.98
Atoms (fractional coordinates):
Ac 0.303 0.479 0.369
Ac 0.575 0.625 0.920
Pm 0.571 0.113 0.909
Pm 0.306 0.991 0.380
Pd 0.946 0.280 0.660
Pd 0.932 0.824 0.629

Computed properties:
ρ = 8.62 g/cm³
N(E_F) = 1.3442 states/eV/atom
Electronic total energy = -0.3769 Ry/atom
Offset from the most stable computed form = 0.0 meV/atom

A plane-wave DFT calculation with PBE was carried out for AcPm2Pd after structural relaxation.

a b c (Å): 5.460 5.460 5.460
angles (deg): 60.00 60.00 60.00
Last column: magnetic moment on the atom in μB.
Atoms (fractional coordinates):
Ac 0.000 0.000 0.000  0.07
Pd 0.500 0.500 0.500  0.01
Pm 0.250 0.250 0.250  0.07
Pm 0.750 0.750 0.750  0.07

Computed properties:
ρ = 8.99 g/cm³
N(E_F) = 1.6603 states/eV/atom
Electronic total energy = -0.3435 Ry/atom
Offset from the most stable computed form = 438.0 meV/atom

A plane-wave DFT calculation with PBE was carried out for AcPmPd6 after structural relaxation.

a b c (Å): 4.260 4.260 8.473
angles (deg): 90.00 90.00 90.00
Atoms (fractional coordinates):
Ac 0.000 0.000 0.000
Pm 0.000 0.000 0.500
Pd 0.500 0.500 0.000
Pd 0.500 0.500 0.500
Pd 0.500 0.000 0.258
Pd 0.500 0.000 0.742
Pd 0.000 0.500 0.258
Pd 0.000 0.500 0.742

Computed properties:
ρ = 10.91 g/cm³
N(E_F) = 0.6462 states/eV/atom
Electronic total energy = -0.4228 Ry/atom

A plane-wave DFT calculation with PBE was carried out for AcPm4Pd2 after structural relaxation.

a b c (Å): 6.749 7.959 8.408
angles (deg): 111.24 90.00 90.00
Atoms (fractional coordinates):
Ac 0.250 0.860 0.979
Ac 0.750 0.140 0.021
Pm 0.505 0.398 0.763
Pm 0.250 0.256 0.353
Pm 0.750 0.744 0.647
Pm 0.995 0.398 0.763
Pm 0.750 0.027 0.402
Pm 0.005 0.602 0.237
Pm 0.495 0.602 0.237
Pm 0.250 0.973 0.598
Pd 0.250 0.279 0.003
Pd 0.750 0.721 0.997
Pd 0.750 0.383 0.410
Pd 0.250 0.617 0.590

Computed properties:
ρ = 8.05 g/cm³
N(E_F) = 1.3728 states/eV/atom
Electronic total energy = -0.3792 Ry/atom

A plane-wave DFT calculation with PBE was carried out for AcPm4Pd4 after structural relaxation.

a b c (Å): 5.898 9.410 9.410
angles (deg): 90.00 90.00 90.00
Atoms (fractional coordinates):
Ac 0.000 0.000 0.000
Ac 0.500 0.500 0.500
Pm 0.420 0.328 0.903
Pm 0.920 0.597 0.828
Pm 0.420 0.672 0.097
Pm 0.080 0.172 0.597
Pm 0.580 0.903 0.672
Pm 0.080 0.828 0.403
Pm 0.920 0.403 0.172
Pm 0.580 0.097 0.328
Pd 0.583 0.793 0.371
Pd 0.583 0.207 0.629
Pd 0.083 0.871 0.707
Pd 0.917 0.293 0.871
Pd 0.917 0.707 0.129
Pd 0.417 0.371 0.207
Pd 0.417 0.629 0.793
Pd 0.083 0.129 0.293

Computed properties:
ρ = 7.84 g/cm³
N(E_F) = 0.7770 states/eV/atom
Electronic total energy = -0.4045 Ry/atom

A plane-wave DFT calculation with PBE was carried out for AcPmPd after structural relaxation.

a b c (Å): 6.388 7.419 8.472
angles (deg): 93.90 90.00 90.00
Atoms (fractional coordinates):
Ac 0.360 0.191 0.886
Ac 0.640 0.809 0.114
Ac 0.860 0.309 0.614
Ac 0.140 0.691 0.386
Pm 0.870 0.306 0.136
Pm 0.630 0.806 0.636
Pm 0.130 0.694 0.864
Pm 0.370 0.194 0.364
Pd 0.365 0.463 0.636
Pd 0.635 0.537 0.364
Pd 0.135 0.963 0.136
Pd 0.865 0.037 0.864

Computed properties:
ρ = 7.93 g/cm³
N(E_F) = 1.1598 states/eV/atom
Electronic total energy = -0.3767 Ry/atom
Offset from the most stable computed form = 2.7 meV/atom

A plane-wave DFT calculation with PBE was carried out for AcPmPd after structural relaxation.

a b c (Å): 5.185 5.185 5.185
angles (deg): 60.00 60.00 60.00
Atoms (fractional coordinates):
Ac 0.000 0.000 0.000
Pd 0.250 0.250 0.250
Pm 0.500 0.500 0.500

Computed properties:
ρ = 8.06 g/cm³
N(E_F) = 1.4755 states/eV/atom
Electronic total energy = -0.3696 Ry/atom
Offset from the most stable computed form = 99.2 meV/atom

A plane-wave DFT calculation with PBE was carried out for AcPm2Pd after structural relaxation.

a b c (Å): 3.624 3.624 11.731
angles (deg): 81.11 81.11 60.00
Atoms (fractional coordinates):
Ac 0.500 0.500 0.500
Pd 0.000 0.000 0.000
Pm 0.077 0.077 0.769
Pm 0.923 0.923 0.231

Computed properties:
ρ = 7.89 g/cm³
N(E_F) = 0.8081 states/eV/atom
Electronic total energy = -0.3350 Ry/atom
Offset from the most stable computed form = 553.5 meV/atom

A plane-wave DFT calculation with PBE was carried out for AcPm2Pd after structural relaxation.

a b c (Å): 3.707 3.707 9.091
angles (deg): 90.00 90.00 90.00
Atoms (fractional coordinates):
Ac 0.500 0.500 0.500
Pd 0.500 0.500 0.000
Pm 0.000 0.000 0.815
Pm 0.000 0.000 0.185

Computed properties:
ρ = 8.29 g/cm³
N(E_F) = 1.3458 states/eV/atom
Electronic total energy = -0.3703 Ry/atom
Offset from the most stable computed form = 73.3 meV/atom